Material: RbVF3
Method: DFT, PBE+U
State: optimized geometry

- Density: 3.70 g/cm³
- DOS at the Fermi energy: 0.00 states/eV/cell
- Final energy: -5.48 eV per atom
- Crystal system: monoclinic

a b c (Å): 4.231 6.483 6.662
angles (deg): 90.00 108.43 90.00
Fractional coordinates of all 10 atoms:
Rb 0.204 0.250 0.410
Rb 0.796 0.750 0.590
V 0.491 0.250 0.981
V 0.509 0.750 0.019
F 0.014 0.750 0.028
F 0.388 0.514 0.775
F 0.388 0.986 0.775
F 0.612 0.014 0.225
F 0.612 0.486 0.225
F 0.986 0.250 0.972